{
  "formula": "PaVB",
  "functional": "PBE",
  "state": "relaxed",
  "cell": [[3.767, 0.000, 0.000], [-1.884, 3.262, 0.000], [0.000, 0.000, 3.858]],
  "species": ["Pa", "V", "B"],
  "frac_coords": [[0.000, 0.000, 0.000], [0.333, 0.667, 0.500], [0.667, 0.333, 0.500]],
  "space_group": "P-6m2, No. 187",
  "n_ef_per_ev_atom": 1.634,
  "final_energy_ev_per_atom": -8.4045,
  "relative_energy_ev_per_atom": 0.051,
  "m_tot_mub_per_atom": 0.000,
  "e_form_ev_per_atom": 0.026
}

{
  "formula": "Cu2NiW",
  "functional": "PBE",
  "state": "relaxed",
  "cell": [[0.000, 2.933, 2.933], [2.933, 0.000, 2.933], [2.933, 2.933, 0.000]],
  "species": ["Cu", "Cu", "Ni", "W"],
  "frac_coords": [[0.250, 0.250, 0.250], [0.750, 0.750, 0.750], [0.000, 0.000, 0.000], [0.500, 0.500, 0.500]],
  "space_group": "Fm-3m, No. 225",
  "n_ef_per_ev_atom": 0.486,
  "final_energy_ev_per_atom": -6.3891,
  "relative_energy_ev_per_atom": 0.235,
  "m_tot_mub_per_atom": 0.000,
  "e_form_ev_per_atom": 0.343
}

{
  "formula": "Y2Ho3TmAs6",
  "functional": "PBE",
  "state": "relaxed",
  "cell": [[8.938, -2.051, 0.000], [8.938, 2.051, 0.000], [-1.878, 0.000, 7.984]],
  "species": ["Y", "Y", "Ho", "Ho", "Ho", "Tm", "As", "As", "As", "As", "As", "As"],
  "frac_coords": [[0.166, 0.166, 0.333], [0.834, 0.834, 0.667], [0.167, 0.167, 0.833], [0.500, 0.500, 0.500], [0.833, 0.833, 0.167], [0.500, 0.500, 0.000], [0.001, 0.001, 0.752], [0.334, 0.334, 0.416], [0.334, 0.334, 0.919], [0.666, 0.666, 0.081], [0.666, 0.666, 0.584], [0.999, 0.999, 0.248]],
  "space_group": "C2/m, No. 12",
  "n_ef_per_ev_atom": 0.152,
  "final_energy_ev_per_atom": -6.4528,
  "m_tot_mub_per_atom": 0.000,
  "e_form_ev_per_atom": -1.534
}

{
  "formula": "Al5Ni2",
  "functional": "PBE",
  "state": "relaxed",
  "cell": [[6.413, -2.364, 0.000], [6.413, 2.364, 0.000], [-1.488, 0.000, 6.701]],
  "species": ["Al", "Al", "Al", "Al", "Al", "Al", "Al", "Al", "Al", "Al", "Ni", "Ni", "Ni", "Ni"],
  "frac_coords": [[0.108, 0.330, 0.323], [0.146, 0.854, 0.750], [0.255, 0.568, 0.070], [0.330, 0.108, 0.823], [0.432, 0.745, 0.430], [0.568, 0.255, 0.570], [0.670, 0.892, 0.177], [0.745, 0.432, 0.930], [0.854, 0.146, 0.250], [0.892, 0.670, 0.677], [0.073, 0.714, 0.422], [0.286, 0.927, 0.078], [0.714, 0.073, 0.922], [0.927, 0.286, 0.578]],
  "space_group": "C2/c, No. 15",
  "n_ef_per_ev_atom": 0.349,
  "final_energy_ev_per_atom": -4.7377,
  "m_tot_mub_per_atom": 0.000,
  "e_form_ev_per_atom": -0.413
}

{
  "formula": "La2Os3",
  "functional": "PBE",
  "state": "relaxed",
  "cell": [[2.053, 1.185, 8.340], [-2.053, 1.185, 8.340], [0.000, -2.371, 8.340]],
  "species": ["La", "La", "Os", "Os", "Os"],
  "frac_coords": [[0.099, 0.099, 0.099], [0.901, 0.901, 0.901], [0.325, 0.325, 0.325], [0.500, 0.500, 0.500], [0.675, 0.675, 0.675]],
  "space_group": "R-3m, No. 166",
  "n_ef_per_ev_atom": 1.171,
  "final_energy_ev_per_atom": -8.4546,
  "relative_energy_ev_per_atom": 0.321,
  "m_tot_mub_per_atom": 0.000,
  "e_form_ev_per_atom": 0.254
}